1.
A plane-wave DFT calculation with PBE-GGA was carried out for a geometry-optimized Cu3Ag7 structure.

The structure in POSCAR format:
```
Cu3Ag7
1.0
7.307 -1.994 0.000
7.307 1.994 0.000
-1.267 0.000 5.588
Cu Ag
3 7
Direct
0.000 0.000 0.000
0.402 0.402 0.197
0.598 0.598 0.803
0.000 0.000 0.500
0.195 0.195 0.091
0.198 0.198 0.602
0.408 0.408 0.716
0.592 0.592 0.284
0.802 0.802 0.398
0.805 0.805 0.909
```

Properties
E_tot: -3.02 eV per atom
SG: C2/m, No. 12
Crystal system: monoclinic
Energy of formation: 73 kJ/mol of formula units

2.
A plane-wave DFT calculation with PBE-GGA was carried out for a geometry-optimized CuAg structure.

The structure in POSCAR format:
```
CuAg
1.0
7.381 -1.421 0.000
7.381 1.421 0.000
-1.818 0.000 7.091
Cu Ag
5 5
Direct
0.000 0.000 0.000
0.198 0.198 0.069
0.406 0.406 0.178
0.594 0.594 0.822
0.802 0.802 0.931
0.000 0.000 0.500
0.199 0.199 0.628
0.396 0.396 0.719
0.604 0.604 0.281
0.801 0.801 0.372
```

Properties
E_tot: -3.20 eV per atom
SG: C2/m, No. 12
Crystal system: monoclinic
Energy of formation: 14 kJ/mol of formula units

3.
A plane-wave DFT calculation with PBE-GGA was carried out for a geometry-optimized CuAg structure.

The structure in POSCAR format:
```
CuAg
1.0
17.976 0.000 0.000
0.000 2.772 0.000
-0.300 0.000 4.776
Cu Ag
8 8
Direct
0.000 0.000 0.000
0.000 0.500 0.500
0.113 0.000 0.364
0.387 0.500 0.636
0.500 0.000 0.500
0.500 0.500 0.000
0.613 0.500 0.364
0.887 0.000 0.636
0.119 0.500 0.860
0.242 0.500 0.253
0.258 0.000 0.747
0.381 0.000 0.140
0.619 0.000 0.860
0.742 0.000 0.253
0.758 0.500 0.747
0.881 0.500 0.140
```

Properties
E_tot: -3.17 eV per atom
SG: C2/m, No. 12
Crystal system: monoclinic
Energy of formation: 19 kJ/mol of formula units

4.
A plane-wave DFT calculation with PBE-GGA was carried out for a geometry-optimized Cu23Ag17 structure.

The structure in POSCAR format:
```
Cu23Ag17
1.0
5.530 0.000 0.000
-0.020 9.369 0.000
-0.004 -1.306 11.155
Cu Ag
23 17
Direct
0.000 0.000 0.000
0.000 0.308 0.798
0.009 0.801 0.803
0.230 0.367 0.599
0.233 0.251 0.984
0.237 0.666 0.398
0.242 0.554 0.797
0.243 0.049 0.807
0.491 0.801 0.801
0.505 0.488 0.997
0.509 0.892 0.403
0.513 0.707 0.217
0.747 0.946 0.206
0.751 0.472 0.190
0.752 0.846 0.600
0.756 0.258 0.988
0.761 0.663 0.403
0.762 0.362 0.594
0.980 0.710 0.216
0.984 0.898 0.404
0.995 0.486 0.991
0.996 0.603 0.594
0.998 0.424 0.401
0.001 0.113 0.605
0.238 0.475 0.191
0.238 0.852 0.603
0.243 0.944 0.208
0.245 0.162 0.398
0.249 0.731 0.004
0.489 0.306 0.795
0.493 0.001 0.000
0.496 0.605 0.600
0.498 0.217 0.185
0.502 0.103 0.598
0.505 0.420 0.394
0.749 0.153 0.392
0.752 0.746 0.010
0.757 0.044 0.803
0.758 0.557 0.799
0.993 0.211 0.185
```

Properties
E_tot: -3.24 eV per atom
SG: P1, No. 1
Crystal system: triclinic
Energy of formation: 371 kJ/mol of formula units

5.
A plane-wave DFT calculation with PBE-GGA was carried out for a geometry-optimized CuAg structure.

The structure in POSCAR format:
```
CuAg
1.0
6.763 0.000 0.000
0.000 2.786 0.000
-1.969 0.000 7.833
Cu Ag
5 5
Direct
0.000 0.000 0.000
0.079 0.500 0.295
0.174 0.000 0.568
0.608 0.000 0.801
0.801 0.000 0.393
0.298 0.500 0.870
0.379 0.000 0.193
0.489 0.500 0.506
0.705 0.500 0.095
0.895 0.500 0.694
```

Properties
E_tot: -3.18 eV per atom
SG: Pm, No. 6
Crystal system: monoclinic
Energy of formation: 18 kJ/mol of formula units

6.
A plane-wave DFT calculation with PBE-GGA was carried out for a geometry-optimized Cu3Ag2 structure.

The structure in POSCAR format:
```
Cu3Ag2
1.0
6.940 -1.911 0.000
6.940 1.911 0.000
-1.065 0.000 5.389
Cu Ag
6 4
Direct
0.000 0.000 0.000
0.000 0.000 0.500
0.199 0.199 0.590
0.398 0.398 0.690
0.602 0.602 0.310
0.801 0.801 0.410
0.198 0.198 0.113
0.407 0.407 0.211
0.593 0.593 0.789
0.802 0.802 0.887
```

Properties
E_tot: -3.26 eV per atom
SG: C2/m, No. 12
Crystal system: monoclinic
Energy of formation: 46 kJ/mol of formula units

7.
A plane-wave DFT calculation with PBE-GGA was carried out for a geometry-optimized CuAg structure.

The structure in POSCAR format:
```
CuAg
1.0
4.410 -1.941 0.000
4.410 1.941 0.000
-0.083 0.000 8.737
Cu Ag
5 5
Direct
0.000 0.000 0.000
0.096 0.096 0.712
0.404 0.404 0.804
0.596 0.596 0.196
0.904 0.904 0.288
0.198 0.198 0.391
0.308 0.308 0.098
0.500 0.500 0.500
0.692 0.692 0.902
0.802 0.802 0.609
```

Properties
E_tot: -3.17 eV per atom
SG: C2/m, No. 12
Crystal system: monoclinic
Energy of formation: 19 kJ/mol of formula units

8.
A plane-wave DFT calculation with PBE-GGA was carried out for a geometry-optimized Cu4Ag3 structure.

The structure in POSCAR format:
```
Cu4Ag3
1.0
2.802 0.000 0.000
0.000 2.802 0.000
0.000 0.000 25.872
Cu Ag
8 6
Direct
0.000 0.000 0.073
0.000 0.000 0.220
0.000 0.000 0.780
0.000 0.000 0.927
0.500 0.500 0.280
0.500 0.500 0.427
0.500 0.500 0.573
0.500 0.500 0.720
0.000 0.000 0.354
0.000 0.000 0.500
0.000 0.000 0.646
0.500 0.500 0.000
0.500 0.500 0.146
0.500 0.500 0.854
```

Properties
E_tot: -3.24 eV per atom
SG: I4/mmm, No. 139
Crystal system: tetragonal
Energy of formation: 61 kJ/mol of formula units

9.
A plane-wave DFT calculation with PBE-GGA was carried out for a geometry-optimized Cu3Ag5 structure.

The structure in POSCAR format:
```
Cu3Ag5
1.0
2.869 0.000 0.000
0.000 7.333 0.000
0.000 0.000 11.959
Cu Ag
6 10
Direct
0.000 0.000 0.000
0.000 0.500 0.500
0.500 0.237 0.901
0.500 0.263 0.401
0.500 0.737 0.401
0.500 0.763 0.901
0.000 0.000 0.291
0.000 0.000 0.522
0.000 0.000 0.770
0.000 0.500 0.022
0.000 0.500 0.270
0.000 0.500 0.791
0.500 0.222 0.138
0.500 0.278 0.638
0.500 0.722 0.638
0.500 0.778 0.138
```

Properties
E_tot: -3.08 eV per atom
SG: Amm2, No. 38
Crystal system: orthorhombic
Energy of formation: 61 kJ/mol of formula units

10.
A plane-wave DFT calculation with PBE-GGA was carried out for a geometry-optimized Cu2Ag5 structure.

The structure in POSCAR format:
```
Cu2Ag5
1.0
11.634 0.000 0.000
0.000 2.900 0.000
-2.094 0.000 6.745
Cu Ag
4 10
Direct
0.211 0.000 0.115
0.289 0.500 0.885
0.711 0.500 0.115
0.789 0.000 0.885
0.000 0.500 0.000
0.086 0.000 0.708
0.146 0.500 0.396
0.354 0.000 0.604
0.414 0.500 0.292
0.500 0.000 0.000
0.586 0.500 0.708
0.646 0.000 0.396
0.854 0.500 0.604
0.914 0.000 0.292
```

Properties
E_tot: -3.02 eV per atom
SG: C2/m, No. 12
Crystal system: monoclinic
Energy of formation: 42 kJ/mol of formula units

11.
A plane-wave DFT calculation with PBE-GGA was carried out for a geometry-optimized Cu8Ag structure.

The structure in POSCAR format:
```
Cu8Ag
1.0
2.623 0.000 0.000
-1.312 2.272 0.000
0.000 0.000 18.943
Cu Ag
8 1
Direct
0.000 0.000 0.162
0.000 0.000 0.838
0.333 0.667 0.054
0.333 0.667 0.377
0.333 0.667 0.730
0.667 0.333 0.270
0.667 0.333 0.623
0.667 0.333 0.946
0.000 0.000 0.500
```

Properties
E_tot: -3.56 eV per atom
SG: P-3m1, No. 164
Crystal system: trigonal
Energy of formation: 50 kJ/mol of formula units

12.
A plane-wave DFT calculation with PBE-GGA was carried out for a geometry-optimized Cu7Ag2 structure.

The structure in POSCAR format:
```
Cu7Ag2
1.0
2.685 0.000 0.000
-1.343 2.326 0.000
0.000 0.000 19.133
Cu Ag
7 2
Direct
0.000 0.000 0.000
0.000 0.000 0.342
0.000 0.000 0.658
0.333 0.667 0.553
0.333 0.667 0.896
0.667 0.333 0.104
0.667 0.333 0.447
0.333 0.667 0.223
0.667 0.333 0.777
```

Properties
E_tot: -3.43 eV per atom
SG: P-3m1, No. 164
Crystal system: trigonal
Energy of formation: 80 kJ/mol of formula units

Please write out number 3 again, unchanged.
A plane-wave DFT calculation with PBE-GGA was carried out for a geometry-optimized CuAg structure.

The structure in POSCAR format:
```
CuAg
1.0
17.976 0.000 0.000
0.000 2.772 0.000
-0.300 0.000 4.776
Cu Ag
8 8
Direct
0.000 0.000 0.000
0.000 0.500 0.500
0.113 0.000 0.364
0.387 0.500 0.636
0.500 0.000 0.500
0.500 0.500 0.000
0.613 0.500 0.364
0.887 0.000 0.636
0.119 0.500 0.860
0.242 0.500 0.253
0.258 0.000 0.747
0.381 0.000 0.140
0.619 0.000 0.860
0.742 0.000 0.253
0.758 0.500 0.747
0.881 0.500 0.140
```

Properties
E_tot: -3.17 eV per atom
SG: C2/m, No. 12
Crystal system: monoclinic
Energy of formation: 19 kJ/mol of formula units

Number 10 is which compound? Cu2Ag5

Look up the E_tot of the third one. -3.17 eV per atom